PmMg2SnGe: relaxed, PBE-GGA.

Calculated density in Mg/m³: 4.937
Formation energy in eV per atom: -0.3370
Size of the total moment in μB per formula unit: 0.0
Crystal system: orthorhombic

abc: 4.1527 8.2328 7.8272
angles: 90.00 90.00 104.61
Last column: nearest neighbours and their distance in Å.
Sites, in units of the cell vectors:
1 Mg 0.1803 0.3607 0.9353  3 Ge 2.72-2.75, 1 Mg 2.90, 1 Sn 2.92
2 Mg 0.1803 0.3607 0.5647  3 Ge 2.72-2.75, 1 Mg 2.90, 1 Sn 2.92
3 Mg 0.8197 0.6393 0.0647  3 Ge 2.72-2.75, 1 Mg 2.90, 1 Sn 2.92
4 Mg 0.8197 0.6393 0.4353  3 Ge 2.72-2.75, 1 Mg 2.90, 1 Sn 2.92
5 Ge 0.7477 0.4954 0.7500  6 Mg 2.72-2.75
6 Ge 0.2523 0.5046 0.2500  6 Mg 2.72-2.75
7 Sn 0.0000 0.0000 0.0000  2 Mg 2.92, 4 Pm 3.25
8 Sn 0.0000 0.0000 0.5000  2 Mg 2.92, 4 Pm 3.25
9 Pm 0.5980 0.1961 0.2500  2 Ge 3.22, 4 Sn 3.25, 4 Mg 3.48
10 Pm 0.4020 0.8039 0.7500  2 Ge 3.22, 4 Sn 3.25, 4 Mg 3.48